#A
A plane-wave DFT calculation with PBE-GGA was carried out for crystalline BeZnSBr at its relaxed geometry.

Cell lengths 3.507, 3.508, 9.637 Å; angles 86.40, 85.82, 60.11 degrees
Space group P1 (No. 1)
Unique sites:
Be: 0.000 0.000 0.000
Zn: 0.404 0.346 0.608
S: 0.334 0.334 0.999
Br: 0.765 0.699 0.436

## Properties
- crystal system = triclinic
- D(E_F) (states/eV/f.u.) = 1.6

#B
A plane-wave DFT calculation with PBE-GGA was carried out for crystalline BeZnSBr at its relaxed geometry.

Cell lengths 3.654, 4.844, 6.783 Å; angles 74.19, 75.50, 67.95 degrees
Space group P1 (No. 1)
Unique sites:
Be: 0.000 0.000 0.000
Zn: 0.286 0.601 0.812
S: 0.955 0.324 0.745
Br: 0.441 0.931 0.200

## Properties
- crystal system = triclinic
- D(E_F) (states/eV/f.u.) = 1.0

#C
A plane-wave DFT calculation with PBE-GGA was carried out for crystalline BeZnSBr at its relaxed geometry.

Cell lengths 6.216, 4.365, 6.086 Å; angles 90.00, 105.46, 90.00 degrees
Space group Cm (No. 8)
Unique sites:
Be: 0.000 0.000 0.000
Zn: 0.232 0.000 0.511
S: 0.411 0.500 0.654
Br: 0.158 0.500 0.105

## Properties
- crystal system = monoclinic
- D(E_F) (states/eV/f.u.) = 1.4

It is #C that is the least stable of them.

#A
A plane-wave DFT calculation with PBE-GGA was carried out for crystalline BeSbBr at its relaxed geometry.

Cell lengths 4.1688, 4.1688, 5.0327 Å; angles 90.00, 90.00, 120.00 degrees
Space group P-6m2 (No. 187)
Unique sites:
Be: 0.0000 0.0000 0.0000
Sb: 0.3333 0.6667 0.0000
Br: 0.6667 0.3333 0.5000

## Properties
- crystal system = hexagonal
- D(E_F) (states/eV/f.u.) = 1.4

#B
A plane-wave DFT calculation with PBE-GGA was carried out for crystalline BeSbBr at its relaxed geometry.

Cell lengths 13.857, 3.356, 7.771 Å; angles 90.00, 114.45, 90.00 degrees
Space group C2/m (No. 12)
Unique sites:
Be: 0.172 0.000 0.330
Sb: 0.102 0.000 0.992
Br: 0.141 0.500 0.497

## Properties
- crystal system = monoclinic
- D(E_F) (states/eV/f.u.) = 0.6

#C
A plane-wave DFT calculation with PBE-GGA was carried out for crystalline BeSbBr at its relaxed geometry.

Cell lengths 3.199, 6.680, 16.042 Å; angles 90.00, 90.00, 90.00 degrees
Space group Fmm2 (No. 42)
Unique sites:
Be: 0.000 0.000 0.000
Sb: 0.000 0.000 0.630
Br: 0.000 0.000 0.406

## Properties
- crystal system = orthorhombic
- D(E_F) (states/eV/f.u.) = 1.5

It is #A that is the least stable of them.

#A
A plane-wave DFT calculation with PBE-GGA was carried out for crystalline Be3SbBr at its relaxed geometry.

Cell lengths 4.510, 4.510, 4.510 Å; angles 90.00, 90.00, 90.00 degrees
Space group Pm-3m (No. 221)
Unique sites:
Be: 0.000 0.000 0.500
Sb: 0.500 0.500 0.500
Br: 0.000 0.000 0.000

## Properties
- crystal system = cubic
- D(E_F) (states/eV/f.u.) = 0.8

#B
A plane-wave DFT calculation with PBE-GGA was carried out for crystalline Be3SbBr at its relaxed geometry.

Cell lengths 4.858, 4.858, 4.858 Å; angles 90.00, 90.00, 90.00 degrees
Space group Pm-3m (No. 221)
Unique sites:
Be: 0.000 0.000 0.500
Sb: 0.000 0.000 0.000
Br: 0.500 0.500 0.500

## Properties
- crystal system = cubic
- D(E_F) (states/eV/f.u.) = 2.7

It is #A that is the least stable of them.

#A
A plane-wave DFT calculation with PBE-GGA was carried out for crystalline BeSbBr3 at its relaxed geometry.

Cell lengths 4.873, 4.873, 4.873 Å; angles 90.00, 90.00, 90.00 degrees
Space group Pm-3m (No. 221)
Unique sites:
Be: 0.000 0.000 0.000
Sb: 0.500 0.500 0.500
Br: 0.000 0.000 0.500

## Properties
- crystal system = cubic
- D(E_F) (states/eV/f.u.) = 1.3

#B
A plane-wave DFT calculation with PBE-GGA was carried out for crystalline BeSbBr3 at its relaxed geometry.

Cell lengths 5.632, 5.632, 5.632 Å; angles 90.00, 90.00, 90.00 degrees
Space group Pm-3m (No. 221)
Unique sites:
Be: 0.000 0.000 0.000
Sb: 0.500 0.500 0.500
Br: 0.000 0.500 0.500

## Properties
- crystal system = cubic
- D(E_F) (states/eV/f.u.) = 3.6

It is #B that is the least stable of them.

#A
A plane-wave DFT calculation with PBE-GGA was carried out for crystalline Sc2BeBr at its relaxed geometry.

Cell lengths 6.534, 7.347, 3.173 Å; angles 90.00, 90.00, 90.00 degrees
Space group Cmmm (No. 65)
Unique sites:
Sc: 0.250 0.250 0.000
Be: 0.000 0.000 0.500
Br: 0.000 0.500 0.500

## Properties
- crystal system = orthorhombic
- D(E_F) (states/eV/f.u.) = 3.7

#B
A plane-wave DFT calculation with PBE-GGA was carried out for crystalline Sc2BeBr at its relaxed geometry.

Cell lengths 3.3974, 3.3974, 28.9598 Å; angles 90.00, 90.00, 120.00 degrees
Space group R3m (No. 160, hexagonal axes)
Unique sites:
Sc: 0.0000 0.0000 0.0000
Sc: 0.0000 0.0000 0.2433
Be: 0.0000 0.0000 0.7302
Br: 0.0000 0.0000 0.5114

## Properties
- crystal system = trigonal
- D(E_F) (states/eV/f.u.) = 2.8

It is #B that is the least stable of them.

#A
A plane-wave DFT calculation with PBE-GGA was carried out for crystalline Sc2BeBr at its relaxed geometry.

Cell lengths 3.6192, 3.6192, 21.2767 Å; angles 90.00, 90.00, 120.00 degrees
Space group R-3m (No. 166, hexagonal axes)
Unique sites:
Sc: 0.0000 0.0000 0.2360
Be: 0.0000 0.0000 0.5000
Br: 0.0000 0.0000 0.0000

## Properties
- crystal system = trigonal
- D(E_F) (states/eV/f.u.) = 2.3

#B
A plane-wave DFT calculation with PBE-GGA was carried out for crystalline Sc2BeBr at its relaxed geometry.

Cell lengths 6.844, 6.844, 6.844 Å; angles 90.00, 90.00, 90.00 degrees
Space group F-43m (No. 216)
Unique sites:
Sc: 0.000 0.000 0.000
Sc: 0.250 0.250 0.250
Be: 0.000 0.000 0.500
Br: 0.250 0.250 0.750

## Properties
- crystal system = cubic
- D(E_F) (states/eV/f.u.) = 6.9

#C
A plane-wave DFT calculation with PBE-GGA was carried out for crystalline Sc2BeBr at its relaxed geometry.

Cell lengths 6.901, 7.180, 3.218 Å; angles 90.00, 103.50, 90.00 degrees
Space group C2/m (No. 12)
Unique sites:
Sc: 0.250 0.250 0.000
Be: 0.000 0.000 0.500
Br: 0.000 0.500 0.500

## Properties
- crystal system = monoclinic
- D(E_F) (states/eV/f.u.) = 3.4

It is #B that is the least stable of them.